The following is a DFT calculation (PBE with a Hubbard U) of NaCa2MoF8 after structural relaxation.

The structure in POSCAR format:
```
NaCa2MoF8
1.0
4.4994 0.0000 0.0000
0.0000 7.3320 0.0000
-0.1805 0.0000 5.3797
Na Ca Mo F
1 2 1 8
Direct
0.0000 0.0000 0.0000
0.5000 0.2423 0.5000
0.5000 0.7577 0.5000
0.0000 0.5000 0.0000
0.1175 0.2808 0.7680
0.1175 0.7192 0.7680
0.3696 0.5000 0.2528
0.3743 0.0000 0.2713
0.6257 0.0000 0.7287
0.6304 0.5000 0.7472
0.8825 0.2808 0.2320
0.8825 0.7192 0.2320
```

Output
Density ... 3285 kg/m³
Uncorrected energy ... -5.556 eV/atom